# 1
A relaxed Rb2Na3Cd4 crystal, computed with PBE.

Unit cell a=9.0626 b=8.8560 c=8.8150 alpha=90.00 beta=109.25 gamma=90.00
Atoms (fractional coordinates):
Rb1 0.1837 0.1605 0.0579
Rb2 0.1837 0.3395 0.5579
Rb3 0.8163 0.6605 0.4421
Rb4 0.8163 0.8395 0.9421
Na1 0.2573 0.6765 0.2530
Na2 0.2573 0.8235 0.7530
Na3 0.5000 0.0000 0.5000
Na4 0.5000 0.5000 0.0000
Na5 0.7427 0.1765 0.2470
Na6 0.7427 0.3235 0.7470
Cd1 0.0866 0.5456 0.8874
Cd2 0.0866 0.9544 0.3874
Cd3 0.5001 0.1218 0.8753
Cd4 0.5001 0.3782 0.3753
Cd5 0.4999 0.6218 0.6247
Cd6 0.4999 0.8782 0.1247
Cd7 0.9134 0.0456 0.6126
Cd8 0.9134 0.4544 0.1126

Properties
total moment	0.000	μB/f.u.
DOS at the Fermi energy	0.5391	states/eV/atom
E_form	-0.19	eV/f.u.

=====

# 2
A relaxed TbBe3As3 crystal, computed with PBE.

Unit cell a=7.6626 b=7.6626 c=7.6626 alpha=51.44 beta=51.44 gamma=51.44
Atoms (fractional coordinates):
Tb1 0.1663 0.1663 0.1663
Tb2 0.8337 0.8337 0.8337
Be1 0.0392 0.7146 0.3728
Be2 0.2854 0.6272 0.9608
Be3 0.3728 0.0392 0.7146
Be4 0.6272 0.9608 0.2854
Be5 0.7146 0.3728 0.0392
Be6 0.9608 0.2854 0.6272
As1 0.0825 0.4097 0.7348
As2 0.2652 0.9175 0.5903
As3 0.4097 0.7348 0.0825
As4 0.5903 0.2652 0.9175
As5 0.7348 0.0825 0.4097
As6 0.9175 0.5903 0.2652

Properties
total moment	0.000	μB/f.u.
DOS at the Fermi energy	0.0309	states/eV/atom
E_form	-3.69	eV/f.u.

=====

# 3
A relaxed NdAlHPd2 crystal, computed with PBE.

Unit cell a=5.9107 b=5.9107 c=7.4682 alpha=90.00 beta=90.00 gamma=141.58
Atoms (fractional coordinates):
Nd1 0.0568 0.9432 0.7500
Nd2 0.9432 0.0568 0.2500
Al1 0.2242 0.7758 0.2500
Al2 0.7758 0.2242 0.7500
H1 0.5000 0.5000 0.0000
H2 0.5000 0.5000 0.5000
Pd1 0.3424 0.6576 0.5551
Pd2 0.3424 0.6576 0.9449
Pd3 0.6576 0.3424 0.0551
Pd4 0.6576 0.3424 0.4449

Properties
total moment	0.000	μB/f.u.
DOS at the Fermi energy	0.3051	states/eV/atom
total energy	-5.231	eV/atom

=====

# 4
A relaxed TbPrPu2 crystal, computed with PBE.

Unit cell a=4.8903 b=4.8903 c=5.0692 alpha=90.00 beta=90.00 gamma=90.00
Atoms (fractional coordinates):
Tb1 0.0000 0.0000 0.0000
Pr1 0.5000 0.5000 0.0000
Pu1 0.0000 0.5000 0.5000
Pu2 0.5000 0.0000 0.5000

Properties
total moment	12.427	μB/f.u.
DOS at the Fermi energy	4.0785	states/eV/atom
E_form	0.87	eV/f.u.